(1)
Entry from Alexandria: a geometry-optimized LaPb2Se2 structure (PBE).

Lattice parameters (Å, degrees): 8.0977 8.0977 4.6161 90.00 90.00 90.00
Space group P4/mbm (No. 127)
Inequivalent atoms, fractional coordinates:
1 La 0.0000 0.0000 0.0000 (multiplicity 2)
2 Pb 0.1746 0.3254 0.5000 (multiplicity 4)
3 Se 0.1648 0.6648 0.0000 (multiplicity 4)

***

(2)
Entry from Alexandria: a geometry-optimized La2PbSe structure (PBE).

Lattice parameters (Å, degrees): 5.7976 5.7976 6.9432 90.00 90.00 90.00
Space group I4/mmm (No. 139)
Inequivalent atoms, fractional coordinates:
1 La 0.0000 0.5000 0.2500 (multiplicity 4)
2 Pb 0.0000 0.0000 0.0000 (multiplicity 2)
3 Se 0.0000 0.0000 0.5000 (multiplicity 2)

***

(3)
Entry from Alexandria: a geometry-optimized La2PbSe structure (PBE).

Lattice parameters (Å, degrees): 5.6963 5.6963 3.6300 90.00 90.00 90.00
Space group P4/mmm (No. 123)
Inequivalent atoms, fractional coordinates:
1 La 0.0000 0.5000 0.0000 (multiplicity 2)
2 Pb 0.0000 0.0000 0.5000 (multiplicity 1)
3 Se 0.5000 0.5000 0.5000 (multiplicity 1)

***

Calculated total magnetic moment (μB/f.u.), listed in the same order as above: 0.00 0.00 0.31
Calculated density of states at the Fermi level (states/eV per cell), listed in the same order as above: 6.7 4.0 2.9
Calculated formation energy (no corrections) (meV per atom), listed in the same order as above: -801 -993 -1064